[1]
Ba7Sc6Al2O19: single point on PBEsol structure, SCAN.

a = 5.7807 Å, b = 5.7807 Å, c = 35.2854 Å
α = 90.00°, β = 90.00°, γ = 120.00°
Closest atoms and distances in Å follow each position.
Positions (direct):
1 Ba 0.0000 0.0000 0.0533  9 O 2.66-2.94
2 Ba 0.0000 0.0000 0.2500  6 O 2.85
3 Ba 0.0000 0.0000 0.4467  9 O 2.66-2.94
4 Ba 0.0000 0.0000 0.5533  9 O 2.66-2.94
5 Ba 0.0000 0.0000 0.7500  6 O 2.85
6 Ba 0.0000 0.0000 0.9467  9 O 2.66-2.94
7 Ba 0.3333 0.6667 0.1067  12 O 2.90-3.22
8 Ba 0.3333 0.6667 0.3933  12 O 2.90-3.22
9 Ba 0.3333 0.6667 0.6721  9 O 2.70-2.92
10 Ba 0.3333 0.6667 0.8279  9 O 2.70-2.92
11 Ba 0.6667 0.3333 0.1721  9 O 2.70-2.92
12 Ba 0.6667 0.3333 0.3279  9 O 2.70-2.92
13 Ba 0.6667 0.3333 0.6067  12 O 2.90-3.22
14 Ba 0.6667 0.3333 0.8933  12 O 2.90-3.22
15 Sc 0.0000 0.0000 0.1482  6 O 2.09-2.11
16 Sc 0.0000 0.0000 0.3518  6 O 2.09-2.11
17 Sc 0.0000 0.0000 0.6482  6 O 2.09-2.11
18 Sc 0.0000 0.0000 0.8518  6 O 2.09-2.11
19 Sc 0.3333 0.6667 0.0051  6 O 2.07-2.22
20 Sc 0.3333 0.6667 0.4949  6 O 2.07-2.22
21 Sc 0.3333 0.6667 0.5786  6 O 2.05-2.16
22 Sc 0.3333 0.6667 0.9214  6 O 2.05-2.16
23 Sc 0.6667 0.3333 0.0786  6 O 2.05-2.16
24 Sc 0.6667 0.3333 0.4214  6 O 2.05-2.16
25 Sc 0.6667 0.3333 0.5051  6 O 2.07-2.22
26 Sc 0.6667 0.3333 0.9949  6 O 2.07-2.22
27 Al 0.3333 0.6667 0.2010  4 O 1.73-1.76
28 Al 0.3333 0.6667 0.2990  4 O 1.73-1.76
29 Al 0.6667 0.3333 0.7010  4 O 1.73-1.76
30 Al 0.6667 0.3333 0.7990  4 O 1.73-1.76
31 O 0.0093 0.5047 0.5380  3 Sc 2.07-2.22
32 O 0.0093 0.5047 0.9620  3 Sc 2.07-2.22
33 O 0.1660 0.3320 0.6121  2 Sc 2.05-2.09
34 O 0.1660 0.3320 0.8879  2 Sc 2.05-2.09
35 O 0.1660 0.8340 0.6121  2 Sc 2.05-2.09
36 O 0.1660 0.8340 0.8879  2 Sc 2.05-2.09
37 O 0.1674 0.3348 0.1847  1 Al 1.76
38 O 0.1674 0.3348 0.3153  1 Al 1.76
39 O 0.1674 0.8326 0.1847  1 Al 1.76
40 O 0.1674 0.8326 0.3153  1 Al 1.76
41 O 0.3320 0.1660 0.1121  2 Sc 2.05-2.09
42 O 0.3320 0.1660 0.3879  2 Sc 2.05-2.09
43 O 0.3333 0.6667 0.2500  2 Al 1.73
44 O 0.3348 0.1674 0.6847  1 Al 1.76
45 O 0.3348 0.1674 0.8153  1 Al 1.76
46 O 0.4953 0.5047 0.5380  3 Sc 2.07-2.22
47 O 0.4953 0.5047 0.9620  3 Sc 2.07-2.22
48 O 0.4953 0.9907 0.5380  3 Sc 2.07-2.22
49 O 0.4953 0.9907 0.9620  3 Sc 2.07-2.22
50 O 0.5047 0.0093 0.0380  3 Sc 2.07-2.22
51 O 0.5047 0.0093 0.4620  3 Sc 2.07-2.22
52 O 0.5047 0.4953 0.0380  3 Sc 2.07-2.22
53 O 0.5047 0.4953 0.4620  3 Sc 2.07-2.22
54 O 0.6652 0.8326 0.1847  1 Al 1.76
55 O 0.6652 0.8326 0.3153  1 Al 1.76
56 O 0.6667 0.3333 0.7500  2 Al 1.73
57 O 0.6680 0.8340 0.6121  2 Sc 2.05-2.09
58 O 0.6680 0.8340 0.8879  2 Sc 2.05-2.09
59 O 0.8326 0.1674 0.6847  1 Al 1.76
60 O 0.8326 0.1674 0.8153  1 Al 1.76
61 O 0.8326 0.6652 0.6847  1 Al 1.76
62 O 0.8326 0.6652 0.8153  1 Al 1.76
63 O 0.8340 0.1660 0.1121  2 Sc 2.05-2.09
64 O 0.8340 0.1660 0.3879  2 Sc 2.05-2.09
65 O 0.8340 0.6680 0.1121  2 Sc 2.05-2.09
66 O 0.8340 0.6680 0.3879  2 Sc 2.05-2.09
67 O 0.9907 0.4953 0.0380  3 Sc 2.07-2.22
68 O 0.9907 0.4953 0.4620  3 Sc 2.07-2.22

Computed properties:
Its calculated total energy is -1227.39 eV per cell. Its crystal system is hexagonal. As for the density of states at the Fermi level: 0.00 states/eV/cell. The formation energy (no corrections) is -3457 meV per atom. The value obtained for the total magnetic moment is 0.00 μB/cell.


[2]
Ba6Tb2Al4O15: single point on PBEsol structure, SCAN.

a = 7.8407 Å, b = 5.9026 Å, c = 18.3233 Å
α = 90.00°, β = 91.58°, γ = 90.00°
Closest atoms and distances in Å follow each position.
Positions (direct):
1 Ba 0.0000 0.1749 0.2500  8 O 2.75-2.94
2 Ba 0.0000 0.8251 0.7500  8 O 2.75-2.94
3 Ba 0.0011 0.2548 0.9187  2 O 2.52-2.78
4 Ba 0.0011 0.7452 0.4187  2 O 2.52-2.78
5 Ba 0.4713 0.2480 0.9100  9 O 2.73-3.04
6 Ba 0.4713 0.7520 0.4100  9 O 2.73-3.04
7 Ba 0.5000 0.2251 0.2500  7 O 2.68-2.93
8 Ba 0.5000 0.7749 0.7500  7 O 2.68-2.93
9 Ba 0.5287 0.2480 0.5900  9 O 2.73-3.04
10 Ba 0.5287 0.7520 0.0900  9 O 2.73-3.04
11 Ba 0.9989 0.2548 0.5813  2 O 2.52-2.78
12 Ba 0.9989 0.7452 0.0813  2 O 2.52-2.78
13 Tb 0.2531 0.2493 0.0897  6 O 2.22-2.38
14 Tb 0.2531 0.7507 0.5897  6 O 2.22-2.38
15 Tb 0.7469 0.2493 0.4103  6 O 2.22-2.38
16 Tb 0.7469 0.7507 0.9103  6 O 2.22-2.38
17 Al 0.2528 0.2472 0.4429  4 O 1.78-1.79
18 Al 0.2528 0.7528 0.9429  4 O 1.78-1.79
19 Al 0.2777 0.2690 0.7327  4 O 1.74-1.79
20 Al 0.2777 0.7310 0.2327  4 O 1.74-1.79
21 Al 0.7223 0.2690 0.7673  4 O 1.74-1.79
22 Al 0.7223 0.7310 0.2673  4 O 1.74-1.79
23 Al 0.7472 0.2472 0.0571  4 O 1.78-1.79
24 Al 0.7472 0.7528 0.5571  4 O 1.78-1.79
25 O 0.0383 0.2547 0.4078  1 Al 1.78
26 O 0.0383 0.7453 0.9078  1 Al 1.78
27 O 0.1924 0.1743 0.8139  1 Al 1.74
28 O 0.1924 0.8257 0.3139  1 Al 1.74
29 O 0.2269 0.4711 0.1898  1 Al 1.76
30 O 0.2269 0.5289 0.6898  1 Al 1.76
31 O 0.2544 0.0501 0.6659  1 Al 1.79
32 O 0.2544 0.9499 0.1659  1 Al 1.79
33 O 0.2645 0.4835 0.5045  1 Al 1.79
34 O 0.2645 0.5165 0.0045  1 Al 1.79
35 O 0.2646 0.0027 0.9975  1 Al 1.78
36 O 0.2646 0.9973 0.4975  1 Al 1.78
37 O 0.4454 0.2631 0.3930  1 Al 1.79
38 O 0.4454 0.7369 0.8930  1 Al 1.79
39 O 0.5000 0.2932 0.7500  2 Al 1.77
40 O 0.5000 0.7068 0.2500  2 Al 1.77
41 O 0.5546 0.2631 0.1070  1 Al 1.79
42 O 0.5546 0.7369 0.6070  1 Al 1.79
43 O 0.7354 0.0027 0.5025  1 Al 1.78
44 O 0.7354 0.9973 0.0025  1 Al 1.78
45 O 0.7355 0.4835 0.9955  1 Al 1.79
46 O 0.7355 0.5165 0.4955  1 Al 1.79
47 O 0.7456 0.0501 0.8341  1 Al 1.79
48 O 0.7456 0.9499 0.3341  1 Al 1.79
49 O 0.7731 0.4711 0.3102  1 Al 1.76
50 O 0.7731 0.5289 0.8102  1 Al 1.76
51 O 0.8076 0.1743 0.6861  1 Al 1.74
52 O 0.8076 0.8257 0.1861  1 Al 1.74
53 O 0.9617 0.2547 0.0922  1 Al 1.78
54 O 0.9617 0.7453 0.5922  1 Al 1.78

Computed properties:
Its calculated total energy is -1090.58 eV per cell. Its crystal system is monoclinic. As for the density of states at the Fermi level: 0.00 states/eV/cell. The formation energy (no corrections) is -3333 meV per atom. The value obtained for the total magnetic moment is 0.00 μB/cell.